Entry from the Alexandria database: a relaxed structure of Nd2Ag3Pd2 (PBE).

Results
space-group type	C2/m
energy relative to the elements	-475	meV per atom

Cell: 10.1585 4.2553 7.1325 Å, 90.00 96.69 90.00°
With the nearest neighbours (Å) after each atom.
Element x y z (fractional)
Nd (0.1172, 0.0000, 0.3290)  5 Pd 2.90-3.14
Nd (0.3828, 0.5000, 0.6710)  5 Pd 2.90-3.14
Nd (0.6172, 0.5000, 0.3290)  5 Pd 2.90-3.14
Nd (0.8828, 0.0000, 0.6710)  5 Pd 2.90-3.14
Ag (0.0000, 0.5000, 0.0000)  2 Pd 2.80, 6 Ag 3.07-3.14
Ag (0.1927, 0.0000, 0.8839)  2 Pd 2.82, 5 Ag 2.86-3.14
Ag (0.3073, 0.5000, 0.1161)  2 Pd 2.82, 5 Ag 2.86-3.14
Ag (0.5000, 0.0000, 0.0000)  2 Pd 2.80, 6 Ag 3.07-3.14
Ag (0.6927, 0.5000, 0.8839)  2 Pd 2.82, 5 Ag 2.86-3.14
Ag (0.8073, 0.0000, 0.1161)  2 Pd 2.82, 5 Ag 2.86-3.14
Pd (0.0962, 0.5000, 0.6472)  1 Pd 2.70, 3 Ag 2.80-2.82, 1 Nd 2.90
Pd (0.4038, 0.0000, 0.3528)  1 Pd 2.70, 3 Ag 2.80-2.82, 1 Nd 2.90
Pd (0.5962, 0.0000, 0.6472)  1 Pd 2.70, 3 Ag 2.80-2.82, 1 Nd 2.90
Pd (0.9038, 0.5000, 0.3528)  1 Pd 2.70, 3 Ag 2.80-2.82, 1 Nd 2.90


Entry from the Alexandria database: a relaxed structure of CaCrCl2 (PBE).

Results
space-group type	R-3m
formation energy without anion corrections	-725	meV per atom

Cell: 3.9954 3.9954 24.2958 Å, 90.00 90.00 120.00°
With the nearest neighbours (Å) after each atom.
Element x y z (fractional)
Ca (0.0000, 0.0000, 0.0000)  2 Cl 2.72
Ca (0.3333, 0.6667, 0.6667)  2 Cl 2.72
Ca (0.6667, 0.3333, 0.3333)  2 Cl 2.72
Cr (0.0000, 0.0000, 0.5000)  6 Cl 2.66
Cr (0.3333, 0.6667, 0.1667)  6 Cl 2.66
Cr (0.6667, 0.3333, 0.8333)  6 Cl 2.66
Cl (0.0000, 0.0000, 0.1121)  3 Cr 2.66, 1 Ca 2.72
Cl (0.0000, 0.0000, 0.8879)  3 Cr 2.66, 1 Ca 2.72
Cl (0.3333, 0.6667, 0.5546)  3 Cr 2.66, 1 Ca 2.72
Cl (0.3333, 0.6667, 0.7788)  3 Cr 2.66, 1 Ca 2.72
Cl (0.6667, 0.3333, 0.2212)  3 Cr 2.66, 1 Ca 2.72
Cl (0.6667, 0.3333, 0.4454)  3 Cr 2.66, 1 Ca 2.72


Taking the records one at a time from the top gives total moment values of 0.0, 4.6 μB per formula unit.